No. 1
The following is a PBE calculation of a geometry-optimized PmPr2Dy5Sc structure, from the Alexandria database.

Cell: 10.308 10.308 10.492 Å, 90.00 90.00 148.40°
Sites, in units of the cell vectors:
1 Pm 0.088 0.912 0.500
2 Pm 0.912 0.088 0.000
3 Pr 0.385 0.615 0.775
4 Pr 0.387 0.613 0.356
5 Pr 0.613 0.387 0.856
6 Pr 0.615 0.385 0.275
7 Dy 0.017 0.983 0.781
8 Dy 0.125 0.875 0.060
9 Dy 0.203 0.797 0.744
10 Dy 0.223 0.777 0.363
11 Dy 0.483 0.517 0.060
12 Dy 0.517 0.483 0.560
13 Dy 0.777 0.223 0.863
14 Dy 0.797 0.203 0.244
15 Dy 0.875 0.125 0.560
16 Dy 0.983 0.017 0.281
17 Sc 0.303 0.697 0.055
18 Sc 0.697 0.303 0.555

Calculated values
Size of the total moment = 0.00 μB/cell
Volume = 32.45 Å³/atom
Final energy = -4.69 eV/atom
Formation energy = 0.16 eV per atom

No. 2
The following is a PBE calculation of a geometry-optimized Pm5PrDy2Sc structure, from the Alexandria database.

Cell: 10.515 10.515 10.498 Å, 90.00 90.00 148.81°
Sites, in units of the cell vectors:
1 Pm 0.016 0.984 0.500
2 Pm 0.125 0.875 0.777
3 Pm 0.203 0.797 0.465
4 Pm 0.224 0.776 0.079
5 Pm 0.483 0.517 0.774
6 Pm 0.517 0.483 0.274
7 Pm 0.776 0.224 0.579
8 Pm 0.797 0.203 0.965
9 Pm 0.875 0.125 0.277
10 Pm 0.984 0.016 0.000
11 Pr 0.091 0.909 0.215
12 Pr 0.909 0.091 0.715
13 Dy 0.384 0.616 0.493
14 Dy 0.387 0.613 0.069
15 Dy 0.613 0.387 0.569
16 Dy 0.616 0.384 0.993
17 Sc 0.305 0.695 0.772
18 Sc 0.695 0.305 0.272

Calculated values
Size of the total moment = 0.00 μB/cell
Volume = 33.39 Å³/atom
Final energy = -4.73 eV/atom
Formation energy = 0.16 eV per atom

No. 3
The following is a PBE calculation of a geometry-optimized PmPrDy3Sc structure, from the Alexandria database.

Cell: 7.925 7.925 10.017 Å, 90.00 90.00 143.07°
Sites, in units of the cell vectors:
1 Pm 0.002 0.998 0.750
2 Pm 0.998 0.002 0.250
3 Pr 0.500 0.500 0.000
4 Pr 0.500 0.500 0.500
5 Dy 0.169 0.831 0.000
6 Dy 0.169 0.831 0.500
7 Dy 0.329 0.671 0.750
8 Dy 0.671 0.329 0.250
9 Dy 0.831 0.169 0.000
10 Dy 0.831 0.169 0.500
11 Sc 0.331 0.669 0.250
12 Sc 0.669 0.331 0.750

Calculated values
Size of the total moment = 0.00 μB/cell
Volume = 31.49 Å³/atom
Final energy = -4.90 eV/atom
Formation energy = 0.04 eV per atom

No. 4
The following is a PBE calculation of a geometry-optimized PmPrDySc structure, from the Alexandria database.

Cell: 7.055 7.055 7.055 Å, 151.69 128.77 59.57°
Sites, in units of the cell vectors:
1 Pm 0.000 0.000 0.000
2 Pr 0.276 0.276 0.000
3 Dy 0.512 0.012 0.500
4 Sc 0.734 0.734 0.000

Calculated values
Size of the total moment = 0.33 μB/cell
Volume = 32.23 Å³/atom
Excess energy over the best structure of this formula in the dataset = 0.287 eV per atom
Final energy = -4.73 eV/atom
Formation energy = 0.39 eV per atom

Number 3 is which compound?
PmPrDy3Sc